Record 1
{
  "formula": "CrGaBr2",
  "functional": "PBE",
  "state": "relaxed",
  "lattice_angstrom": [[-3.330, 3.282, -6.126], [-6.339, -4.217, 1.186], [-6.223, 2.239, -0.265]],
  "species": ["Cr", "Cr", "Br", "Br", "Br", "Br", "Ga", "Ga"],
  "fractional_positions": [[0.500, 0.500, 0.000], [0.250, 0.750, 0.500], [0.574, 0.125, 0.250], [0.176, 0.625, 0.250], [0.375, 0.426, 0.750], [0.875, 0.824, 0.750], [0.750, 0.250, 0.500], [0.000, 0.000, 0.000]],
  "e_form_raw_mev_per_atom": -179.1,
  "polymorph_energy_ev_per_fu": 0.00,
  "dft_energy_ev_per_atom": -4.18,
  "vol_a3_per_atom": 27.88
}

***

Record 2
{
  "formula": "CrGa2Br8",
  "functional": "PBE",
  "state": "relaxed",
  "lattice_angstrom": [[6.649, -0.298, -0.255], [0.484, 7.992, 0.009], [0.484, 1.248, 7.894]],
  "species": ["Br", "Br", "Br", "Br", "Br", "Br", "Br", "Br", "Cr", "Ga", "Ga"],
  "fractional_positions": [[0.312, 0.802, 0.802], [0.807, 0.069, 0.726], [0.688, 0.198, 0.198], [0.193, 0.274, 0.931], [0.784, 0.610, 0.610], [0.216, 0.390, 0.390], [0.807, 0.726, 0.069], [0.193, 0.931, 0.274], [0.000, 0.000, 0.000], [0.338, 0.213, 0.213], [0.662, 0.787, 0.787]],
  "e_form_raw_mev_per_atom": -771.4,
  "dft_energy_ev_per_atom": -3.41,
  "vol_a3_per_atom": 38.30
}

***

Record 3
{
  "formula": "CrGaBr4",
  "functional": "PBE",
  "state": "relaxed",
  "lattice_angstrom": [[3.804, 0.000, 0.000], [-1.902, 5.989, -2.527], [0.000, 1.292, 7.664]],
  "species": ["Ga", "Br", "Br", "Br", "Br", "Cr"],
  "fractional_positions": [[0.500, 0.000, 0.500], [0.611, 0.221, 0.913], [0.389, 0.779, 0.087], [0.881, 0.761, 0.698], [0.119, 0.239, 0.302], [0.000, 0.000, 0.000]],
  "e_form_raw_mev_per_atom": -640.9,
  "dft_energy_ev_per_atom": -3.86,
  "vol_a3_per_atom": 31.17
}

***

Record 4
{
  "formula": "CrIn2GaBr6",
  "functional": "PBE",
  "state": "relaxed",
  "lattice_angstrom": [[-4.694, 6.091, 0.502], [-7.448, -1.004, 1.704], [-2.719, 2.216, 6.853]],
  "species": ["Cr", "Br", "Br", "Br", "Br", "Br", "Br", "In", "In", "Ga"],
  "fractional_positions": [[0.322, 0.322, 0.033], [0.105, 0.479, 0.794], [0.550, 0.162, 0.260], [0.027, 0.550, 0.260], [0.622, 0.105, 0.794], [0.162, 0.027, 0.260], [0.479, 0.622, 0.793], [0.542, 0.542, 0.374], [0.035, 0.035, 0.896], [0.817, 0.817, 0.550]],
  "e_form_raw_mev_per_atom": -657.1,
  "dft_energy_ev_per_atom": -3.47,
  "vol_a3_per_atom": 32.30
}

***

Record 5
{
  "formula": "CrGaMo2Br",
  "functional": "PBE",
  "state": "relaxed",
  "lattice_angstrom": [[4.587, 0.000, 0.000], [0.000, 4.713, 0.000], [0.000, 0.000, 4.587]],
  "species": ["Cr", "Mo", "Mo", "Ga", "Br"],
  "fractional_positions": [[0.000, 0.000, 0.000], [0.500, 0.000, 0.000], [0.000, 0.000, 0.500], [0.000, 0.500, 0.000], [0.500, 0.500, 0.500]],
  "e_form_raw_mev_per_atom": 1156.5,
  "dft_energy_ev_per_atom": -6.04,
  "vol_a3_per_atom": 19.83
}

***

Record 6
{
  "formula": "RbCrGa2Br8",
  "functional": "PBE",
  "state": "relaxed",
  "lattice_angstrom": [[6.863, 0.000, 0.000], [3.431, 5.943, 0.000], [3.431, 1.981, 10.014]],
  "species": ["Br", "Br", "Br", "Br", "Br", "Br", "Br", "Br", "Ga", "Ga", "Rb", "Cr"],
  "fractional_positions": [[0.949, 0.615, 0.166], [0.051, 0.385, 0.834], [0.730, 0.051, 0.834], [0.174, 0.174, 0.477], [0.615, 0.270, 0.166], [0.385, 0.730, 0.834], [0.270, 0.949, 0.166], [0.826, 0.826, 0.523], [0.746, 0.746, 0.761], [0.254, 0.254, 0.239], [0.500, 0.500, 0.500], [0.000, 0.000, 0.000]],
  "e_form_raw_mev_per_atom": -855.3,
  "dft_energy_ev_per_atom": -3.36,
  "vol_a3_per_atom": 34.03
}

***

Record 7
{
  "formula": "Rb3Cr2GaBr9",
  "functional": "PBE",
  "state": "relaxed",
  "lattice_angstrom": [[7.633, 0.000, 0.000], [-3.816, 6.610, 0.000], [0.000, 0.000, 9.432]],
  "species": ["Ga", "Cr", "Cr", "Br", "Br", "Br", "Br", "Br", "Br", "Br", "Br", "Br", "Rb", "Rb", "Rb"],
  "fractional_positions": [[0.000, 0.000, 0.500], [0.333, 0.667, 0.161], [0.667, 0.333, 0.839], [0.175, 0.825, 0.316], [0.500, 0.000, 0.000], [0.000, 0.500, 0.000], [0.175, 0.350, 0.316], [0.500, 0.500, 0.000], [0.825, 0.175, 0.684], [0.650, 0.825, 0.316], [0.825, 0.650, 0.684], [0.350, 0.175, 0.684], [0.667, 0.333, 0.336], [0.000, 0.000, 0.000], [0.333, 0.667, 0.664]],
  "e_form_raw_mev_per_atom": -1102.5,
  "dft_energy_ev_per_atom": -3.78,
  "vol_a3_per_atom": 31.72
}

***

Record 8
{
  "formula": "Rb2CrGaBr6",
  "functional": "PBE",
  "state": "relaxed",
  "lattice_angstrom": [[7.735, 0.000, 0.000], [0.000, 7.735, 0.000], [3.868, 3.868, 5.471]],
  "species": ["Cr", "Rb", "Rb", "Br", "Br", "Br", "Br", "Br", "Br", "Ga"],
  "fractional_positions": [[0.500, 0.500, 0.000], [0.250, 0.750, 0.500], [0.750, 0.250, 0.500], [0.733, 0.733, 0.000], [0.267, 0.267, 0.000], [0.733, 0.267, 0.000], [0.267, 0.267, 0.466], [0.267, 0.733, 0.000], [0.733, 0.733, 0.534], [0.000, 0.000, 0.000]],
  "e_form_raw_mev_per_atom": -1127.5,
  "dft_energy_ev_per_atom": -3.59,
  "vol_a3_per_atom": 32.73
}

***

Record 9
{
  "formula": "Cr2GaReBr",
  "functional": "PBE",
  "state": "relaxed",
  "lattice_angstrom": [[4.776, 0.000, 0.000], [0.000, 4.987, 0.000], [0.000, 0.000, 4.776]],
  "species": ["Re", "Cr", "Cr", "Ga", "Br"],
  "fractional_positions": [[0.000, 0.000, 0.000], [0.500, 0.000, 0.000], [0.000, 0.000, 0.500], [0.000, 0.500, 0.000], [0.500, 0.500, 0.500]],
  "e_form_raw_mev_per_atom": 923.2,
  "dft_energy_ev_per_atom": -6.36,
  "vol_a3_per_atom": 22.75
}

***

Record 10
{
  "formula": "CrGaSBr2",
  "functional": "PBE",
  "state": "relaxed",
  "lattice_angstrom": [[-0.895, 4.679, -2.322], [-3.696, 0.602, 2.637], [3.000, 2.389, 3.658]],
  "species": ["Cr", "Br", "Br", "Ga", "S"],
  "fractional_positions": [[0.500, 0.500, 0.500], [0.000, 0.000, 0.500], [0.500, 0.000, 0.000], [0.000, 0.000, 0.000], [0.000, 0.500, 0.000]],
  "e_form_raw_mev_per_atom": 147.5,
  "dft_energy_ev_per_atom": -3.88,
  "vol_a3_per_atom": 25.73
}

***

Record 11
{
  "formula": "CrGaSe2Br",
  "functional": "PBE",
  "state": "relaxed",
  "lattice_angstrom": [[4.830, 0.000, 0.000], [0.000, 4.830, 0.000], [0.000, 0.000, 5.385]],
  "species": ["Se", "Se", "Br", "Ga", "Cr"],
  "fractional_positions": [[0.000, 0.500, 0.000], [0.500, 0.000, 0.000], [0.000, 0.000, 0.500], [0.500, 0.500, 0.500], [0.000, 0.000, 0.000]],
  "e_form_raw_mev_per_atom": -126.5,
  "polymorph_energy_ev_per_fu": 0.00,
  "dft_energy_ev_per_atom": -4.38,
  "vol_a3_per_atom": 25.12
}

***

Record 12
{
  "formula": "CrGaSeBr2",
  "functional": "PBE",
  "state": "relaxed",
  "lattice_angstrom": [[5.274, 0.000, 0.000], [0.000, 5.274, 0.000], [0.000, 0.000, 4.806]],
  "species": ["Cr", "Ga", "Br", "Br", "Se"],
  "fractional_positions": [[0.000, 0.000, 0.000], [0.500, 0.500, 0.500], [0.500, 0.000, 0.000], [0.000, 0.500, 0.000], [0.000, 0.000, 0.500]],
  "e_form_raw_mev_per_atom": -305.5,
  "polymorph_energy_ev_per_fu": 0.00,
  "dft_energy_ev_per_atom": -4.20,
  "vol_a3_per_atom": 26.73
}

***

Record 13
{
  "formula": "CrGaSeBr2",
  "functional": "PBE",
  "state": "relaxed",
  "lattice_angstrom": [[5.153, 0.000, 0.000], [0.000, 5.153, 0.000], [0.000, 0.000, 5.101]],
  "species": ["Cr", "Br", "Br", "Ga", "Se"],
  "fractional_positions": [[0.500, 0.500, 0.500], [0.000, 0.500, 0.000], [0.500, 0.000, 0.000], [0.000, 0.000, 0.000], [0.000, 0.000, 0.500]],
  "e_form_raw_mev_per_atom": 153.1,
  "polymorph_energy_ev_per_fu": 2.29,
  "dft_energy_ev_per_atom": -3.74,
  "vol_a3_per_atom": 27.09
}

***

Record 14
{
  "formula": "CrGaSe2Br",
  "functional": "PBE",
  "state": "relaxed",
  "lattice_angstrom": [[4.986, 0.000, 0.000], [0.000, 4.986, 0.000], [0.000, 0.000, 5.168]],
  "species": ["Se", "Se", "Ga", "Br", "Cr"],
  "fractional_positions": [[0.500, 0.000, 0.000], [0.000, 0.500, 0.000], [0.000, 0.000, 0.000], [0.000, 0.000, 0.500], [0.500, 0.500, 0.500]],
  "e_form_raw_mev_per_atom": 313.5,
  "polymorph_energy_ev_per_fu": 2.20,
  "dft_energy_ev_per_atom": -3.94,
  "vol_a3_per_atom": 25.69
}

***

Record 15
{
  "formula": "TlCrGa2Br8",
  "functional": "PBE",
  "state": "relaxed",
  "lattice_angstrom": [[-4.239, 0.124, 5.289], [0.991, -4.188, 5.237], [4.550, 5.424, 7.863]],
  "species": ["Br", "Br", "Br", "Br", "Br", "Br", "Br", "Br", "Cr", "Ga", "Ga", "Tl"],
  "fractional_positions": [[0.941, 0.615, 0.169], [0.171, 0.171, 0.486], [0.385, 0.725, 0.831], [0.059, 0.385, 0.831], [0.275, 0.941, 0.169], [0.725, 0.059, 0.831], [0.615, 0.275, 0.169], [0.829, 0.829, 0.514], [0.000, 0.000, 0.000], [0.748, 0.748, 0.755], [0.252, 0.252, 0.245], [0.500, 0.500, 0.500]],
  "e_form_raw_mev_per_atom": -684.9,
  "dft_energy_ev_per_atom": -3.30,
  "vol_a3_per_atom": 32.60
}

***

Record 16
{
  "formula": "CrGeBr2",
  "functional": "PBE",
  "state": "relaxed",
  "lattice_angstrom": [[-6.176, -1.739, 1.367], [-1.227, -0.682, -6.409], [-2.308, -5.972, -2.281]],
  "species": ["Cr", "Cr", "Br", "Br", "Br", "Br", "Ge", "Ge"],
  "fractional_positions": [[0.500, 0.500, 0.000], [0.250, 0.750, 0.500], [0.375, 0.451, 0.750], [0.875, 0.799, 0.750], [0.549, 0.125, 0.250], [0.201, 0.625, 0.250], [0.000, 0.000, 0.000], [0.750, 0.250, 0.500]],
  "e_form_raw_mev_per_atom": 709.4,
  "polymorph_energy_ev_per_fu": 0.00,
  "dft_energy_ev_per_atom": -3.69,
  "vol_a3_per_atom": 26.72
}

***

Record 17
{
  "formula": "CrGe2Br",
  "functional": "PBE",
  "state": "relaxed",
  "lattice_angstrom": [[0.000, 3.314, 3.314], [3.314, 0.000, 3.314], [3.314, 3.314, 0.000]],
  "species": ["Br", "Cr", "Ge", "Ge"],
  "fractional_positions": [[0.500, 0.500, 0.500], [0.000, 0.000, 0.000], [0.250, 0.250, 0.250], [0.750, 0.750, 0.750]],
  "e_form_raw_mev_per_atom": 1070.1,
  "polymorph_energy_ev_per_fu": 2.01,
  "dft_energy_ev_per_atom": -4.06,
  "vol_a3_per_atom": 18.21
}

***

Record 18
{
  "formula": "CrGeBr2",
  "functional": "PBE",
  "state": "relaxed",
  "lattice_angstrom": [[0.000, 3.368, 3.368], [3.368, 0.000, 3.368], [3.368, 3.368, 0.000]],
  "species": ["Ge", "Cr", "Br", "Br"],
  "fractional_positions": [[0.500, 0.500, 0.500], [0.000, 0.000, 0.000], [0.750, 0.750, 0.750], [0.250, 0.250, 0.250]],
  "e_form_raw_mev_per_atom": 808.7,
  "polymorph_energy_ev_per_fu": 0.40,
  "dft_energy_ev_per_atom": -3.59,
  "vol_a3_per_atom": 19.10
}

***

Record 19
{
  "formula": "CrGe2Br",
  "functional": "PBE",
  "state": "relaxed",
  "lattice_angstrom": [[5.061, 0.000, 0.000], [0.000, 5.061, 0.000], [2.530, 2.530, 8.142]],
  "species": ["Ge", "Ge", "Ge", "Ge", "Cr", "Cr", "Br", "Br"],
  "fractional_positions": [[0.875, 0.731, 0.750], [0.269, 0.625, 0.250], [0.481, 0.125, 0.250], [0.375, 0.519, 0.750], [0.500, 0.500, 0.000], [0.250, 0.750, 0.500], [0.750, 0.250, 0.500], [0.000, 0.000, 0.000]],
  "e_form_raw_mev_per_atom": 566.9,
  "polymorph_energy_ev_per_fu": 0.00,
  "dft_energy_ev_per_atom": -4.57,
  "vol_a3_per_atom": 26.06
}

***

Record 20
{
  "formula": "KCrGe2Br8",
  "functional": "PBE",
  "state": "relaxed",
  "lattice_angstrom": [[6.829, 2.005, 0.076], [1.654, 6.952, 0.038], [-0.075, -0.040, 8.766]],
  "species": ["Br", "Br", "Br", "Br", "Br", "Br", "Br", "Br", "Cr", "Ge", "Ge", "K"],
  "fractional_positions": [[0.688, 0.053, 0.168], [0.256, 0.692, 0.169], [0.333, 0.333, 0.557], [0.948, 0.742, 0.832], [0.052, 0.258, 0.168], [0.667, 0.667, 0.443], [0.744, 0.308, 0.831], [0.312, 0.947, 0.832], [0.000, 0.000, 0.000], [0.667, 0.667, 0.164], [0.333, 0.333, 0.836], [0.000, 0.000, 0.500]],
  "e_form_raw_mev_per_atom": -797.7,
  "dft_energy_ev_per_atom": -3.58,
  "vol_a3_per_atom": 32.26
}